Computed, not measured: a relaxed Rb2ZrVF6 crystal at the GGA+U level of DFT.

```
Rb2ZrVF6
1.0
6.267 0.000 0.000
0.000 6.267 0.000
3.134 3.134 4.356
F Rb Zr V
6 2 1 1
direct
0.255 0.255 0.490
0.740 0.740 0.000
0.745 0.745 0.510
0.740 0.260 0.000
0.260 0.740 0.000
0.260 0.260 0.000
0.250 0.750 0.500
0.750 0.250 0.500
0.000 0.000 0.000
0.500 0.500 0.000
```

Computed properties:
As for the total energy: -5.55 eV per atom.